Rb2DyW3O12 | PBE+U | optimized geometry

Summary:
For the total energy, the calculation gives -7.042 eV per atom.

Structure (POSCAR):
```
Rb2DyW3O12
1.0
3.7564 2.1688 6.2896
-3.7564 2.1688 6.2896
0.0000 -4.3375 6.2896
Rb Dy W O
2 1 3 12
direct
0.1343 0.1343 0.1343
0.8657 0.8657 0.8657
0.5000 0.5000 0.5000
0.0000 0.5000 0.5000
0.5000 0.0000 0.5000
0.5000 0.5000 0.0000
0.1445 0.5773 0.5773
0.1993 0.1993 0.5674
0.1993 0.5674 0.1993
0.4227 0.4227 0.8555
0.4227 0.8555 0.4227
0.4326 0.8007 0.8007
0.5674 0.1993 0.1993
0.5773 0.1445 0.5773
0.5773 0.5773 0.1445
0.8007 0.4326 0.8007
0.8007 0.8007 0.4326
0.8555 0.4227 0.4227
```